This record from Alexandria via LeMat-Bulk describes TiZn2Au2 after structural relaxation. The functional is PBE.

abc: 7.6065 7.6065 2.9199
angles: 90.00 90.00 90.00
Closest atoms and distances in Å follow each position.
Fractional coordinates of all 10 atoms:
Ti1 0.0000 0.0000 0.0000  2 Ti 2.92, 4 Au 2.94, 8 Zn 3.21
Ti2 0.5000 0.5000 0.0000  2 Ti 2.92, 4 Au 2.94, 8 Zn 3.21
Zn1 0.1612 0.3388 0.5000  6 Au 2.60-2.71
Zn2 0.3388 0.8388 0.5000  6 Au 2.60-2.71
Zn3 0.6612 0.1612 0.5000  6 Au 2.60-2.71
Zn4 0.8388 0.6612 0.5000  6 Au 2.60-2.71
Au1 0.1387 0.6387 0.0000  6 Zn 2.60-2.71
Au2 0.3613 0.1387 0.0000  6 Zn 2.60-2.71
Au3 0.6387 0.8613 0.0000  6 Zn 2.60-2.71
Au4 0.8613 0.3613 0.0000  6 Zn 2.60-2.71

**Distance to the lowest polymorph of the same formula**: 167 meV per atom
**VASP energy**: -35.04 eV for the cell shown
**Space-group type**: No. 127

This record from Alexandria via LeMat-Bulk describes Cs3Sm2TlTe6 after structural relaxation. The functional is PBE.

abc: 8.0277 8.0277 9.3563
angles: 98.29 98.29 119.85
Closest atoms and distances in Å follow each position.
Fractional coordinates of all 12 atoms:
Cs1 0.0000 0.0000 0.0000  6 Te 3.83-3.85
Cs2 0.3327 0.6673 0.0000  6 Te 3.84-3.85
Cs3 0.6673 0.3327 0.0000  6 Te 3.84-3.85
Sm1 0.1659 0.8341 0.5000  6 Te 3.18-3.19
Sm2 0.8341 0.1659 0.5000  6 Te 3.18-3.19
Tl1 0.5000 0.5000 0.5000  6 Te 3.18-3.21
Te1 0.1031 0.4365 0.3086  1 Tl 3.18, 2 Sm 3.18-3.19
Te2 0.2296 0.2296 0.6939  2 Sm 3.18, 1 Tl 3.21
Te3 0.4365 0.1031 0.3086  1 Tl 3.18, 2 Sm 3.18-3.19
Te4 0.5635 0.8969 0.6914  1 Tl 3.18, 2 Sm 3.18-3.19
Te5 0.7704 0.7704 0.3061  2 Sm 3.18, 1 Tl 3.21
Te6 0.8969 0.5635 0.6914  1 Tl 3.18, 2 Sm 3.18-3.19

**VASP energy**: -45.76 eV for the cell shown
**Space-group type**: No. 12

This record from Alexandria via LeMat-Bulk describes Ca4PmAu5 after structural relaxation. The functional is PBE.

abc: 3.6756 3.6756 18.0640
angles: 90.00 90.00 90.00
Closest atoms and distances in Å follow each position.
Fractional coordinates of all 10 atoms:
Ca1 0.0000 0.0000 0.0988  8 Au 3.15-3.16
Ca2 0.0000 0.0000 0.2976  8 Au 3.16-3.23
Ca3 0.0000 0.0000 0.7024  8 Au 3.16-3.23
Ca4 0.0000 0.0000 0.9012  8 Au 3.15-3.16
Pm1 0.0000 0.0000 0.5000  8 Au 3.13
Au1 0.5000 0.5000 0.0000  8 Ca 3.15
Au2 0.5000 0.5000 0.1979  8 Ca 3.16
Au3 0.5000 0.5000 0.4034  4 Pm 3.13, 4 Ca 3.23, 1 Au 3.49
Au4 0.5000 0.5000 0.5966  4 Pm 3.13, 4 Ca 3.23, 1 Au 3.49
Au5 0.5000 0.5000 0.8021  8 Ca 3.16

**VASP energy**: -37.05 eV for the cell shown
**Space-group type**: No. 123